Crystalline AlHgC at its relaxed geometry, computed with PBE.

abc: 3.420 3.420 4.989
angles: 90.00 90.00 120.00
Element x y z (fractional)
Hg1 0.333 0.667 0.000
Al1 0.667 0.333 0.500
C1 0.333 0.667 0.500

- energy above the lowest structure with this stoichiometry (meV per atom) = 100.2
- total energy (Ha/atom) = -0.14691
- ΔE_f (eV/atom) = 0.425
- density (g/cm3) = 7.87